DFT (PBE-GGA) results for a geometry-optimized CaNdSm structure.

Summary:
- E_form (eV per atom) = 0.029
- magnetic moment (Bohr magnetons per cell) = 0.00
- offset from the most stable computed form (eV/atom) = 0.000
- E (eV per cell) = -22.80
- SG = P4/nmm

abc: 3.715 3.715 15.968
angles: 90.00 90.00 90.00
Element x y z (fractional)
Ca 0.250 0.250 0.092
Ca 0.750 0.750 0.908
Nd 0.250 0.250 0.734
Nd 0.750 0.750 0.266
Sm 0.250 0.250 0.419
Sm 0.750 0.750 0.581

---

DFT (PBE-GGA) results for a geometry-optimized Tl5Cr structure.

Summary:
- E_form (eV per atom) = 0.253
- magnetic moment (Bohr magnetons per cell) = 4.12
- offset from the most stable computed form (eV/atom) = 0.000
- E (eV per cell) = -19.94
- SG = P4/mmm

abc: 3.435 3.435 13.968
angles: 90.00 90.00 90.00
Element x y z (fractional)
Tl 0.000 0.000 0.000
Tl 0.000 0.000 0.369
Tl 0.000 0.000 0.631
Tl 0.500 0.500 0.188
Tl 0.500 0.500 0.812
Cr 0.500 0.500 0.500

---

DFT (PBE-GGA) results for a geometry-optimized TbTm4Os2 structure.

Summary:
- E_form (eV per atom) = -0.230
- magnetic moment (Bohr magnetons per cell) = 0.00
- E (eV per cell) = -93.17
- SG = P2_1/m

abc: 7.701 6.204 7.886
angles: 90.00 112.21 90.00
Element x y z (fractional)
Tb 0.024 0.250 0.160
Tb 0.976 0.750 0.840
Tm 0.240 0.501 0.580
Tm 0.240 0.999 0.580
Tm 0.328 0.750 0.253
Tm 0.381 0.250 0.019
Tm 0.619 0.750 0.981
Tm 0.672 0.250 0.747
Tm 0.760 0.001 0.420
Tm 0.760 0.499 0.420
Os 0.026 0.250 0.743
Os 0.415 0.250 0.375
Os 0.585 0.750 0.625
Os 0.974 0.750 0.257

---

DFT (PBE-GGA) results for a geometry-optimized Th2TaAl6 structure.

Summary:
- E_form (eV per atom) = -0.187
- magnetic moment (Bohr magnetons per cell) = 0.00
- E (eV per cell) = -50.83
- SG = P6/mmm

abc: 7.878 7.878 3.441
angles: 90.00 90.00 120.00
Element x y z (fractional)
Th 0.333 0.667 0.000
Th 0.667 0.333 0.000
Ta 0.000 0.000 0.000
Al 0.000 0.319 0.500
Al 0.000 0.681 0.500
Al 0.319 0.000 0.500
Al 0.319 0.319 0.500
Al 0.681 0.000 0.500
Al 0.681 0.681 0.500